[1]
Entry from the Alexandria database: LaSmCF after structural relaxation (GGA-PBE).

D(E_F)	0.477	states/eV/atom
M_tot	0.0	Bohr magnetons per cell
crystal system	trigonal
ΔE_f (raw)	-1.444	eV per atom

Cell: 3.6432 3.6428 6.9711 Å, 90.00 105.15 120.00°
Last column: nearest neighbours and their distance in Å.
Element x y z (fractional)
La  0.4980  0.1470  0.6601  3 C 2.57
Sm  0.1155  0.9557  0.0865  3 C 2.50, 3 F 2.70
C  0.3131  0.5545  0.8828  3 Sm 2.50, 3 La 2.57
F  0.9513  0.3736  0.3403  3 Sm 2.70, 3 La 2.99

---

[2]
Entry from the Alexandria database: LaTa2CF after structural relaxation (GGA-PBE).

D(E_F)	1.586	states/eV/atom
M_tot	1.5	Bohr magnetons per cell
crystal system	tetragonal
ΔE_f (raw)	2.317	eV per atom

Cell: 5.1709 4.3043 5.1709 Å, 90.00 90.00 90.00°
Last column: nearest neighbours and their distance in Å.
Element x y z (fractional)
C  0.5000  0.5000  0.5000  8 Ta 3.36, 4 F 3.66
Ta  0.0000  0.0000  0.5000  2 La 2.59
Ta  0.5000  0.0000  0.0000  2 La 2.59
F  0.0000  0.5000  0.0000  2 La 2.15
La  0.0000  0.0000  0.0000  2 F 2.15

---

[3]
Entry from the Alexandria database: LaTbCF after structural relaxation (GGA-PBE).

D(E_F)	0.493	states/eV/atom
M_tot	0.0	Bohr magnetons per cell
crystal system	trigonal
ΔE_f (raw)	-1.471	eV per atom

Cell: 3.5963 3.5960 6.9378 Å, 90.00 105.02 120.00°
Last column: nearest neighbours and their distance in Å.
Element x y z (fractional)
La  0.4998  0.1478  0.6629  3 C 2.57
C  0.3192  0.5575  0.8921  3 Tb 2.44, 3 La 2.57
Tb  0.1149  0.9554  0.0856  3 C 2.44, 3 F 2.63
F  0.9440  0.3701  0.3290  3 Tb 2.63

---

[4]
Entry from the Alexandria database: LaTi2CF after structural relaxation (GGA-PBE).

D(E_F)	1.217	states/eV/atom
M_tot	0.0	Bohr magnetons per cell
crystal system	tetragonal
ΔE_f (raw)	0.020	eV per atom

Cell: 4.0095 5.3939 4.0095 Å, 90.00 90.00 90.00°
Last column: nearest neighbours and their distance in Å.
Element x y z (fractional)
La  0.5000  0.5000  0.5000  4 C 2.84
C  0.0000  0.5000  0.0000  2 F 2.70, 4 La 2.84
Ti  0.5000  0.0000  0.0000  2 F 2.00
Ti  0.0000  0.0000  0.5000  2 F 2.00
F  0.0000  0.0000  0.0000  4 Ti 2.00

---

[5]
Entry from the Alexandria database: LiC2F8 after structural relaxation (GGA-PBE).

D(E_F)	0.212	states/eV/atom
M_tot	0.5	Bohr magnetons per cell
crystal system	trigonal
ΔE_f (raw)	-1.460	eV per atom

Cell: 5.3743 5.3743 6.1496 Å, 90.00 90.00 120.00°
Last column: nearest neighbours and their distance in Å.
Element x y z (fractional)
C  0.6667  0.3333  0.2291  4 F 1.33-1.44
C  0.3333  0.6667  0.7709  4 F 1.33-1.44
F  0.1841  0.8159  0.7063  1 C 1.44
F  0.6667  0.3333  0.0130  1 C 1.33
F  0.3333  0.6667  0.9870  1 C 1.33
F  0.6317  0.8159  0.7063  1 C 1.44
F  0.3683  0.1841  0.2937  1 C 1.44
F  0.1841  0.3683  0.7063  1 C 1.44
F  0.8159  0.6317  0.2937  1 C 1.44
F  0.8159  0.1841  0.2937  1 C 1.44
Li  0.0000  0.0000  0.5000  6 F 2.13

---

[6]
Entry from the Alexandria database: LiCF2 after structural relaxation (GGA-PBE).

D(E_F)	0.486	states/eV/atom
M_tot	1.0	Bohr magnetons per cell
crystal system	cubic
ΔE_f (raw)	0.030	eV per atom
polymorph energy (0 for the lowest one)	543	meV/atom

Cell: 3.7804 3.7804 3.7804 Å, 60.00 60.00 60.00°
Last column: nearest neighbours and their distance in Å.
Element x y z (fractional)
F  0.7500  0.7500  0.7500  4 Li 2.31, 4 C 2.31
F  0.2500  0.2500  0.2500  4 Li 2.31, 4 C 2.31
C  0.5000  0.5000  0.5000  8 F 2.31
Li  0.0000  0.0000  0.0000  8 F 2.31

---

[7]
Entry from the Alexandria database: LiC2F after structural relaxation (GGA-PBE).

D(E_F)	0.626	states/eV/atom
M_tot	0.0	Bohr magnetons per cell
crystal system	cubic
ΔE_f (raw)	2.318	eV per atom

Cell: 3.7917 3.7917 3.7917 Å, 60.00 60.00 60.00°
Last column: nearest neighbours and their distance in Å.
Element x y z (fractional)
Li  0.0000  0.0000  0.0000  8 C 2.32
C  0.7500  0.7500  0.7500  4 F 2.32, 4 Li 2.32
C  0.2500  0.2500  0.2500  4 F 2.32, 4 Li 2.32
F  0.5000  0.5000  0.5000  8 C 2.32

---

[8]
Entry from the Alexandria database: LiCF3 after structural relaxation (GGA-PBE).

D(E_F)	0.000	states/eV/atom
M_tot	0.0	Bohr magnetons per cell
crystal system	cubic
ΔE_f (raw)	-0.711	eV per atom
polymorph energy (0 for the lowest one)	0	meV/atom

Cell: 3.7729 3.7729 3.7729 Å, 90.00 90.00 90.00°
Last column: nearest neighbours and their distance in Å.
Element x y z (fractional)
F  0.5000  0.0000  0.0000  2 C 1.89
F  0.0000  0.5000  0.0000  2 C 1.89
F  0.0000  0.0000  0.5000  2 C 1.89
Li  0.5000  0.5000  0.5000  12 F 2.67
C  0.0000  0.0000  0.0000  6 F 1.89

---

[9]
Entry from the Alexandria database: LiCF2 after structural relaxation (GGA-PBE).

D(E_F)	0.141	states/eV/atom
M_tot	0.0	Bohr magnetons per cell
crystal system	trigonal
ΔE_f (raw)	-0.512	eV per atom
polymorph energy (0 for the lowest one)	0	meV/atom

Cell: 6.0279 6.0279 6.0279 Å, 26.20 26.20 26.20°
Last column: nearest neighbours and their distance in Å.
Element x y z (fractional)
Li  0.5000  0.5000  0.5000  6 F 1.95
F  0.1014  0.1014  0.1014  1 C 1.77, 3 Li 1.95
F  0.8986  0.8986  0.8986  1 C 1.77, 3 Li 1.95
C  0.0000  0.0000  0.0000  2 F 1.77

---

[10]
Entry from the Alexandria database: LiCF2 after structural relaxation (GGA-PBE).

D(E_F)	0.024	states/eV/atom
M_tot	2.0	Bohr magnetons per cell
crystal system	tetragonal
ΔE_f (raw)	-0.205	eV per atom
polymorph energy (0 for the lowest one)	307	meV/atom

Cell: 4.1224 4.1224 6.3063 Å, 70.92 70.92 90.00°
Last column: nearest neighbours and their distance in Å.
Element x y z (fractional)
C  0.7500  0.2500  0.5000  4 F 2.03
C  0.0000  0.0000  0.0000  4 F 2.03
F  0.6201  0.1250  0.2500  2 Li 2.01, 2 C 2.03
F  0.3750  0.3799  0.7500  2 Li 2.01, 2 C 2.03
F  0.8750  0.8701  0.7500  2 Li 2.01, 2 C 2.03
F  0.1299  0.6250  0.2500  2 Li 2.01, 2 C 2.03
Li  0.2500  0.7500  0.5000  4 F 2.01
Li  0.5000  0.5000  0.0000  4 F 2.01

---

[11]
Entry from the Alexandria database: LiCF2 after structural relaxation (GGA-PBE).

D(E_F)	0.453	states/eV/atom
M_tot	0.0	Bohr magnetons per cell
crystal system	trigonal
ΔE_f (raw)	0.167	eV per atom
polymorph energy (0 for the lowest one)	679	meV/atom

Cell: 6.8178 6.8178 6.8178 Å, 23.62 23.62 23.62°
Last column: nearest neighbours and their distance in Å.
Element x y z (fractional)
F  0.9153  0.9153  0.9153  1 Li 1.68
F  0.0847  0.0847  0.0847  1 Li 1.68
Li  0.0000  0.0000  0.0000  2 F 1.68
C  0.5000  0.5000  0.5000  6 F 2.29

---

[12]
Entry from the Alexandria database: LiCF3 after structural relaxation (GGA-PBE).

D(E_F)	0.000	states/eV/atom
M_tot	0.0	Bohr magnetons per cell
crystal system	cubic
ΔE_f (raw)	-0.106	eV per atom
polymorph energy (0 for the lowest one)	606	meV/atom

Cell: 3.6201 3.6201 3.6201 Å, 90.00 90.00 90.00°
Last column: nearest neighbours and their distance in Å.
Element x y z (fractional)
Li  0.0000  0.0000  0.0000  6 F 1.81
F  0.5000  0.0000  0.0000  2 Li 1.81
F  0.0000  0.5000  0.0000  2 Li 1.81
F  0.0000  0.0000  0.5000  2 Li 1.81
C  0.5000  0.5000  0.5000  12 F 2.56

---

D(E_F) of number 6 (LiCF2)?
0.486 states/eV/atom

---

Which value of ΔE_f (raw) does entry 11 give?
0.167 eV per atom

---

What did the tenth record say?
Entry from the Alexandria database: LiCF2 after structural relaxation (GGA-PBE).

D(E_F)	0.024	states/eV/atom
M_tot	2.0	Bohr magnetons per cell
crystal system	tetragonal
ΔE_f (raw)	-0.205	eV per atom
polymorph energy (0 for the lowest one)	307	meV/atom

Cell: 4.1224 4.1224 6.3063 Å, 70.92 70.92 90.00°
Last column: nearest neighbours and their distance in Å.
Element x y z (fractional)
C  0.7500  0.2500  0.5000  4 F 2.03
C  0.0000  0.0000  0.0000  4 F 2.03
F  0.6201  0.1250  0.2500  2 Li 2.01, 2 C 2.03
F  0.3750  0.3799  0.7500  2 Li 2.01, 2 C 2.03
F  0.8750  0.8701  0.7500  2 Li 2.01, 2 C 2.03
F  0.1299  0.6250  0.2500  2 Li 2.01, 2 C 2.03
Li  0.2500  0.7500  0.5000  4 F 2.01
Li  0.5000  0.5000  0.0000  4 F 2.01

---

Copy entry 11 word for word.
Entry from the Alexandria database: LiCF2 after structural relaxation (GGA-PBE).

D(E_F)	0.453	states/eV/atom
M_tot	0.0	Bohr magnetons per cell
crystal system	trigonal
ΔE_f (raw)	0.167	eV per atom
polymorph energy (0 for the lowest one)	679	meV/atom

Cell: 6.8178 6.8178 6.8178 Å, 23.62 23.62 23.62°
Last column: nearest neighbours and their distance in Å.
Element x y z (fractional)
F  0.9153  0.9153  0.9153  1 Li 1.68
F  0.0847  0.0847  0.0847  1 Li 1.68
Li  0.0000  0.0000  0.0000  2 F 1.68
C  0.5000  0.5000  0.5000  6 F 2.29